Record 1
This record from Alexandria describes a crystal of As2RuPt relaxed with PBEsol. The functional is meta-GGA SCAN.

```
As2RuPt
1.0
-1.527 2.173 4.661
1.527 -2.173 4.661
1.527 2.173 -4.661
As Ru Pt
2 1 1
Direct
0.000 0.000 0.000
0.728 0.228 0.500
0.514 0.514 0.000
0.236 0.736 0.500
```

Summary:
As for the energy above the most stable polymorph in this dataset: 0.0 meV/atom. The size of the total moment is 0.00 μB per formula unit. As for the space group: Imm2. The value obtained for the energy of formation from the pure elements is 0.076 eV/atom. For the volume, the calculation gives 15.5 Å³/atom. As for the total energy: -36.27 eV/atom. For the density of states at the Fermi level, the calculation gives 0.84 states/eV per atom.


Record 2
This record from Alexandria describes a crystal of AsRu2Pt relaxed with PBEsol. The functional is meta-GGA SCAN.

```
AsRu2Pt
1.0
4.504 -1.405 0.000
4.504 1.405 0.000
-1.486 0.000 4.498
As Ru Pt
1 2 1
Direct
0.000 0.000 0.000
0.273 0.273 0.756
0.727 0.727 0.244
0.500 0.500 0.500
```

Summary:
The size of the total moment is 0.00 μB per formula unit. As for the space group: C2/m. The value obtained for the energy of formation from the pure elements is 0.058 eV/atom. For the volume, the calculation gives 14.2 Å³/atom. As for the total energy: -39.95 eV/atom. For the density of states at the Fermi level, the calculation gives 0.68 states/eV per atom.


Record 3
This record from Alexandria describes a crystal of AsRu2Pt relaxed with PBEsol. The functional is meta-GGA SCAN.

```
AsRu2Pt
1.0
2.788 0.000 0.000
0.000 3.753 0.000
0.000 0.000 5.523
As Ru Pt
1 2 1
Direct
0.000 0.000 0.000
0.000 0.000 0.543
0.500 0.500 0.757
0.500 0.500 0.282
```

Summary:
The size of the total moment is 0.00 μB per formula unit. As for the space group: Pmm2. The value obtained for the energy of formation from the pure elements is 0.093 eV/atom. For the volume, the calculation gives 14.4 Å³/atom. As for the total energy: -39.92 eV/atom. For the density of states at the Fermi level, the calculation gives 0.86 states/eV per atom.


Record 4
This record from Alexandria describes a crystal of AsRu2Pt relaxed with PBEsol. The functional is meta-GGA SCAN.

```
AsRu2Pt
1.0
2.874 -3.452 0.000
2.874 3.452 0.000
0.000 0.000 2.841
As Ru Pt
1 2 1
Direct
0.000 0.000 0.000
0.000 0.500 0.500
0.500 0.000 0.500
0.500 0.500 0.000
```

Summary:
The size of the total moment is 0.00 μB per formula unit. As for the space group: Cmmm. The value obtained for the energy of formation from the pure elements is 0.060 eV/atom. For the volume, the calculation gives 14.1 Å³/atom. As for the total energy: -39.95 eV/atom. For the density of states at the Fermi level, the calculation gives 0.74 states/eV per atom.


Record 5
This record from Alexandria describes a crystal of AsPtS3 relaxed with PBEsol. The functional is meta-GGA SCAN.

```
AsPtS3
1.0
4.574 0.000 0.000
0.000 4.574 0.000
0.000 0.000 4.574
As Pt S
1 1 3
Direct
0.000 0.000 0.000
0.500 0.500 0.500
0.000 0.000 0.500
0.000 0.500 0.000
0.500 0.000 0.000
```

Summary:
The size of the total moment is 2.31 μB per formula unit. As for the space group: Pm-3m. For the volume, the calculation gives 19.1 Å³/atom. As for the total energy: -22.71 eV/atom. For the density of states at the Fermi level, the calculation gives 0.94 states/eV per atom.


Record 6
This record from Alexandria describes a crystal of As2PtS relaxed with PBEsol. The functional is meta-GGA SCAN.

```
As2PtS
1.0
-2.795 2.795 5.780
2.795 -2.795 5.780
2.795 2.795 -5.780
As Pt S
4 2 2
Direct
0.103 0.625 0.978
0.375 0.353 0.478
0.647 0.125 0.022
0.875 0.897 0.522
0.000 0.000 0.000
0.750 0.250 0.500
0.250 0.750 0.500
0.500 0.500 0.000
```

Summary:
The size of the total moment is 0.00 μB per formula unit. As for the space group: I-42d. For the volume, the calculation gives 22.6 Å³/atom. As for the total energy: -30.10 eV/atom. For the density of states at the Fermi level, the calculation gives 0.35 states/eV per atom.


Record 7
This record from Alexandria describes a crystal of AsPtS relaxed with PBEsol. The functional is meta-GGA SCAN.

```
AsPtS
1.0
5.934 0.000 0.000
0.000 5.934 0.000
0.000 0.000 5.934
As Pt S
4 4 4
Direct
0.117 0.117 0.117
0.383 0.883 0.617
0.617 0.383 0.883
0.883 0.617 0.383
0.002 0.502 0.998
0.498 0.498 0.498
0.502 0.998 0.002
0.998 0.002 0.502
0.110 0.390 0.610
0.390 0.610 0.110
0.610 0.110 0.390
0.890 0.890 0.890
```

Summary:
The size of the total moment is 0.00 μB per formula unit. As for the space group: P2_13. For the volume, the calculation gives 17.4 Å³/atom. As for the total energy: -33.83 eV/atom. For the density of states at the Fermi level, the calculation gives 0.51 states/eV per atom.


Record 8
This record from Alexandria describes a crystal of AsPt2S relaxed with PBEsol. The functional is meta-GGA SCAN.

```
AsPt2S
1.0
0.000 3.125 3.125
3.125 0.000 3.125
3.125 3.125 0.000
As Pt S
1 2 1
Direct
0.000 0.000 0.000
0.250 0.250 0.250
0.750 0.750 0.750
0.500 0.500 0.500
```

Summary:
The size of the total moment is 0.00 μB per formula unit. As for the space group: Fm-3m. For the volume, the calculation gives 15.3 Å³/atom. As for the total energy: -42.34 eV/atom. For the density of states at the Fermi level, the calculation gives 0.48 states/eV per atom.


Record 9
This record from Alexandria describes a crystal of SbAsPtSe2 relaxed with PBEsol. The functional is meta-GGA SCAN.

```
SbAsPtSe2
1.0
5.019 0.000 0.000
0.000 5.019 0.000
0.000 0.000 4.656
Sb As Pt Se
1 1 1 2
Direct
0.000 0.000 0.000
0.500 0.500 0.000
0.500 0.500 0.500
0.000 0.500 0.500
0.500 0.000 0.500
```

Summary:
The size of the total moment is 0.00 μB per formula unit. As for the space group: P4/mmm. For the volume, the calculation gives 23.5 Å³/atom. As for the total energy: -33.18 eV/atom. For the density of states at the Fermi level, the calculation gives 0.69 states/eV per atom.


Record 10
This record from Alexandria describes a crystal of Sb2TeAsPt relaxed with PBEsol. The functional is meta-GGA SCAN.

```
Sb2TeAsPt
1.0
5.105 0.000 0.000
0.000 5.105 0.000
0.000 0.000 5.333
Sb Te As Pt
2 1 1 1
Direct
0.000 0.500 0.000
0.500 0.000 0.000
0.000 0.000 0.500
0.500 0.500 0.500
0.000 0.000 0.000
```

Summary:
The size of the total moment is 0.00 μB per formula unit. As for the space group: P4/mmm. For the volume, the calculation gives 27.8 Å³/atom. As for the total energy: -39.87 eV/atom. For the density of states at the Fermi level, the calculation gives 0.86 states/eV per atom.


Record 11
This record from Alexandria describes a crystal of Sc2AsPt relaxed with PBEsol. The functional is meta-GGA SCAN.

```
Sc2AsPt
1.0
-2.245 2.245 3.525
2.245 -2.245 3.525
2.245 2.245 -3.525
Sc As Pt
2 1 1
Direct
0.250 0.750 0.500
0.750 0.250 0.500
0.000 0.000 0.000
0.500 0.500 0.000
```

Summary:
As for the energy above the most stable polymorph in this dataset: 289.2 meV/atom. The size of the total moment is 0.00 μB per formula unit. As for the space group: I4/mmm. The value obtained for the energy of formation from the pure elements is -1.141 eV/atom. For the volume, the calculation gives 17.8 Å³/atom. As for the total energy: -30.86 eV/atom. For the density of states at the Fermi level, the calculation gives 0.72 states/eV per atom.


Record 12
This record from Alexandria describes a crystal of Sc2AsPt relaxed with PBEsol. The functional is meta-GGA SCAN.

```
Sc2AsPt
1.0
3.992 0.000 0.000
0.000 1.838 5.035
0.000 -1.838 5.035
Sc As Pt
2 1 1
Direct
0.000 0.000 0.000
0.500 0.283 0.283
0.000 0.726 0.726
0.500 0.549 0.549
```

Summary:
As for the energy above the most stable polymorph in this dataset: 0.0 meV/atom. The size of the total moment is 0.00 μB per formula unit. As for the space group: Amm2. The value obtained for the energy of formation from the pure elements is -1.430 eV/atom. For the volume, the calculation gives 18.5 Å³/atom. As for the total energy: -31.14 eV/atom. For the density of states at the Fermi level, the calculation gives 0.31 states/eV per atom.


Record 13
This record from Alexandria describes a crystal of Sc2AsPt relaxed with PBEsol. The functional is meta-GGA SCAN.

```
Sc2AsPt
1.0
0.000 3.272 3.272
3.272 0.000 3.272
3.272 3.272 0.000
Sc As Pt
2 1 1
Direct
0.000 0.000 0.000
0.250 0.250 0.250
0.750 0.750 0.750
0.500 0.500 0.500
```

Summary:
As for the energy above the most stable polymorph in this dataset: 869.6 meV/atom. The size of the total moment is 1.65 μB per formula unit. As for the space group: F-43m. The value obtained for the energy of formation from the pure elements is -0.561 eV/atom. For the volume, the calculation gives 17.5 Å³/atom. As for the total energy: -30.28 eV/atom. For the density of states at the Fermi level, the calculation gives 1.36 states/eV per atom.


Record 14
This record from Alexandria describes a crystal of ScAs2PtSe relaxed with PBEsol. The functional is meta-GGA SCAN.

```
ScAs2PtSe
1.0
4.951 0.000 0.000
0.000 4.951 0.000
0.000 0.000 4.839
Sc As Pt Se
1 2 1 1
Direct
0.000 0.000 0.000
0.000 0.500 0.000
0.500 0.000 0.000
0.500 0.500 0.500
0.000 0.000 0.500
```

Summary:
The size of the total moment is 0.00 μB per formula unit. As for the space group: P4/mmm. For the volume, the calculation gives 23.7 Å³/atom. As for the total energy: -28.35 eV/atom. For the density of states at the Fermi level, the calculation gives 0.56 states/eV per atom.


Record 15
This record from Alexandria describes a crystal of As2PtSe relaxed with PBEsol. The functional is meta-GGA SCAN.

```
As2PtSe
1.0
1.831 1.057 6.435
-1.831 1.057 6.435
0.000 -2.114 6.435
As Pt Se
2 1 1
Direct
0.240 0.240 0.240
0.760 0.760 0.760
0.500 0.500 0.500
0.000 0.000 0.000
```

Summary:
The size of the total moment is 0.00 μB per formula unit. As for the space group: R-3m. For the volume, the calculation gives 18.7 Å³/atom. As for the total energy: -32.86 eV/atom. For the density of states at the Fermi level, the calculation gives 0.39 states/eV per atom.